La3Pr3Nd2 | PBE | optimized geometry

Lattice parameters (Å, degrees): 16.879 6.014 6.201 90.00 111.45 90.00
Space group C2/m (No. 12)
Inequivalent atoms, fractional coordinates:
La1 0.000 0.000 0.000 (multiplicity 2)
La2 0.134 0.000 0.578 (multiplicity 4)
Pr1 0.000 0.500 0.500 (multiplicity 2)
Pr2 0.134 0.500 0.185 (multiplicity 4)
Nd1 0.249 0.500 0.818 (multiplicity 4)

Calculated values
offset from the most stable computed form = 0.058 eV/atom
crystal system = monoclinic
electronic total energy = -4.7643 eV/atom
size of the total moment = 0.00 μB/cell